Computed, not measured: a relaxed structure of CoAgPO2 at the PBE+U level of DFT.

## Properties
total energy: -23.03 eV/cell
offset from the most stable computed form: 0.0 kJ/mol of formula units
spin magnetization: 2.734 μB per formula unit

a = 3.6120 Å, b = 3.6120 Å, c = 5.1483 Å
α = 90.00°, β = 90.00°, γ = 90.00°
With the nearest neighbours (Å) after each atom.
Space group P4/mmm (No. 123)
Inequivalent atoms, fractional coordinates:
Co 0.0000 0.0000 0.0000  4 O 1.81
Ag 0.5000 0.5000 0.5000  4 P 2.55
P 0.0000 0.0000 0.5000  4 Ag 2.55, 2 Co 2.57
O 0.0000 0.5000 0.0000  2 Co 1.81